Entry from the Alexandria database: crystalline CaSm2Y at its relaxed geometry (PBE-GGA).

Computed properties:
The space group is P4/mmm. The formation energy is 10.4 kJ per mole of atoms. The value obtained for the energy above the lowest structure with this stoichiometry is 0.063 eV per atom. The calculation puts the electronic total energy at -4.368 eV per atom. The volume comes out at 138.1 Å³ per cell.

Cell lengths 5.1002, 5.2028, 5.2028 Å; angles 90.00, 90.00, 90.00 degrees
Last column: nearest neighbours and their distance in Å.
Element x y z (fractional)
Ca  0.5000  0.5000  0.5000  8 Sm 3.64, 4 Y 3.68
Sm  0.0000  0.5000  0.0000  4 Ca 3.64, 4 Y 3.64, 4 Sm 3.68
Sm  0.0000  0.0000  0.5000  4 Ca 3.64, 4 Y 3.64, 4 Sm 3.68
Y  0.5000  0.0000  0.0000  8 Sm 3.64, 4 Ca 3.68